(1)
DFT (PBE) results for a geometry-optimized Pr2ScH12Rh3 structure.

Values from the calculation:
- DFT total energy (eV per atom) = -4.724
- V (A^3/atom) = 9.55

The structure in CIF format:
```
data_Pr2ScH12Rh3
_cell_length_a 6.5001
_cell_length_b 6.5001
_cell_length_c 14.0897
_cell_angle_alpha 90.00
_cell_angle_beta 90.00
_cell_angle_gamma 120.00
_symmetry_space_group_name_H-M 'R -3 m'
_symmetry_Int_Tables_number 166
_symmetry_space_group_name_Hall '-R 3 2"'
loop_
_atom_site_label
_atom_site_type_symbol
_atom_site_fract_x
_atom_site_fract_y
_atom_site_fract_z
Pr1 Pr 0.0000 0.0000 0.1188
Sc1 Sc 0.0000 0.0000 0.5000
H1 H 0.0080 0.5040 0.8797
H2 H 0.0478 0.5239 0.3271
Rh1 Rh 0.0000 0.5000 0.0000
```

***

(2)
DFT (PBE) results for a geometry-optimized Sm4InTc structure.

Values from the calculation:
- DFT total energy (eV per atom) = -5.530
- V (A^3/atom) = 29.51
- ΔE_f (eV/atom) = -0.2001

The structure in CIF format:
```
data_Sm4InTc
_cell_length_a 8.8627
_cell_length_b 13.2500
_cell_length_c 6.3273
_cell_angle_alpha 90.00
_cell_angle_beta 107.62
_cell_angle_gamma 90.00
_symmetry_space_group_name_H-M 'C 1 2/c 1'
_symmetry_Int_Tables_number 15
loop_
_symmetry_equiv_pos_as_xyz
'x,y,z'
'-x,-y,-z'
'-x,y,-z+1/2'
'x,-y,z+1/2'
'x+1/2,y+1/2,z'
'-x+1/2,-y+1/2,-z'
'-x+1/2,y+1/2,-z+1/2'
'x+1/2,-y+1/2,z+1/2'
loop_
_atom_site_label
_atom_site_type_symbol
_atom_site_fract_x
_atom_site_fract_y
_atom_site_fract_z
Sm1 Sm 0.1090 0.1671 0.0475
Sm2 Sm 0.2177 0.4212 0.3917
In1 In 0.0000 0.3765 0.7500
Tc1 Tc 0.0000 0.9998 0.2500
```